# PBE ErThFe, relaxed
# - E above lowest polymorph: 82 meV/atom
# - Formation enthalpy at 0 K: 0.145 eV/atom
# - DFT total energy: -6.67 eV per atom
# - Total magnetic moment: 0.1 μB/cell
# - N(E_F): 62.55 states/eV/cell
# - Calculated volume: 1192.47 Å³/cell
data_ErThFe
_chemical_formula_sum 'Er16 Th16 Fe16'
_symmetry_space_group_name_H-M 'F d d 2'
_symmetry_Int_Tables_number 43
_symmetry_space_group_name_Hall 'F 2 -2d'
_cell_length_a 10.829
_cell_length_b 15.843
_cell_length_c 6.951
_cell_angle_alpha 90.00
_cell_angle_beta 90.00
_cell_angle_gamma 90.00
loop_
_atom_site_label
_atom_site_type_symbol
_atom_site_fract_x
_atom_site_fract_y
_atom_site_fract_z
Er1 Er 0.115 0.303 0.000
Th1 Th 0.116 0.090 0.249
Fe1 Fe 0.117 0.461 0.909